A relaxed Al2MoRhF crystal. Source: the Alexandria database, functional PBE+U.

## Properties
As for the size of the total moment: 1.6 μB/f.u. The value obtained for the volume is 14.92 A^3/atom. Its space group is No. 123. The total DFT energy (no corrections) is -4.668 eV/atom.

Lattice parameters (Å, degrees): 4.160 4.160 4.312 90.00 90.00 90.00
Atoms (fractional coordinates):
Al 0.000 0.500 0.000
Al 0.500 0.000 0.000
Mo 0.000 0.000 0.500
Rh 0.500 0.500 0.500
F 0.500 0.500 0.000